# Nd4YHo2Er2

A geometry-optimized Nd4YHo2Er2 structure (GGA-PBE, Alexandria).

a = 5.080 Å, b = 8.050 Å, c = 8.044 Å
α = 107.44°, β = 90.00°, γ = 108.39°
Fractional positions:
1 Nd 0.554 0.108 0.332
2 Nd 0.446 0.892 0.668
3 Y 0.000 0.000 0.000
4 Er 0.332 0.664 0.000
5 Er 0.668 0.336 0.000
6 Ho 0.112 0.223 0.669
7 Nd 0.223 0.446 0.332
8 Nd 0.777 0.554 0.668
9 Ho 0.888 0.777 0.331

Results
The value obtained for the density of states at the Fermi level is 1.50 states/eV per atom. The value obtained for the volume is 32.91 Å³ per atom. As for the calculated density: 7.5 g/cm3. Its size of the total moment is 0.0 μB per formula unit. The formation energy comes out at 18.9 kJ/mol of formula units.

# NdYHoEr

A geometry-optimized NdYHoEr structure (GGA-PBE, Alexandria).

a = 5.695 Å, b = 5.695 Å, c = 5.695 Å
α = 60.00°, β = 60.00°, γ = 60.00°
Fractional positions:
1 Ho 0.500 0.500 0.500
2 Y 0.750 0.750 0.750
3 Er 0.000 0.000 0.000
4 Nd 0.250 0.250 0.250

Results
The value obtained for the density of states at the Fermi level is 2.01 states/eV per atom. The value obtained for the volume is 32.65 Å³ per atom. As for the calculated density: 7.2 g/cm3. Its size of the total moment is 0.0 μB per formula unit. The formation energy comes out at 48.3 kJ/mol of formula units.

# Nd3YHo2Er6

A geometry-optimized Nd3YHo2Er6 structure (GGA-PBE, Alexandria).

a = 6.171 Å, b = 6.171 Å, c = 11.750 Å
α = 95.01°, β = 95.01°, γ = 119.96°
Fractional positions:
1 Er 0.918 0.583 0.753
2 Nd 0.833 0.167 0.500
3 Er 0.082 0.417 0.247
4 Nd 0.167 0.833 0.500
5 Er 0.748 0.748 0.247
6 Y 0.000 0.000 0.000
7 Er 0.252 0.252 0.753
8 Nd 0.500 0.500 0.500
9 Ho 0.667 0.333 0.000
10 Er 0.583 0.918 0.753
11 Ho 0.333 0.667 0.000
12 Er 0.417 0.082 0.247

Results
The value obtained for the density of states at the Fermi level is 1.34 states/eV per atom. The value obtained for the volume is 31.81 Å³ per atom. As for the calculated density: 8.1 g/cm3. Its size of the total moment is 0.0 μB per formula unit. The formation energy comes out at 25.2 kJ/mol of formula units.

# Nd2Y6HoEr2

A geometry-optimized Nd2Y6HoEr2 structure (GGA-PBE, Alexandria).

a = 6.657 Å, b = 6.657 Å, c = 12.066 Å
α = 101.45°, β = 101.45°, γ = 129.68°
Fractional positions:
1 Ho 0.000 0.000 0.500
2 Er 0.704 0.296 0.500
3 Y 0.134 0.441 0.787
4 Er 0.296 0.704 0.500
5 Y 0.559 0.866 0.213
6 Y 0.295 0.295 0.296
7 Y 0.705 0.705 0.704
8 Nd 0.135 0.865 0.000
9 Nd 0.865 0.135 0.000
10 Y 0.866 0.559 0.213
11 Y 0.441 0.134 0.787

Results
The value obtained for the density of states at the Fermi level is 1.71 states/eV per atom. The value obtained for the volume is 33.08 Å³ per atom. As for the calculated density: 6.0 g/cm3. Its size of the total moment is 0.0 μB per formula unit. The formation energy comes out at 154.4 kJ/mol of formula units.

# NdY2HoEr2

A geometry-optimized NdY2HoEr2 structure (GGA-PBE, Alexandria).

a = 3.409 Å, b = 6.501 Å, c = 17.830 Å
α = 90.00°, β = 90.00°, γ = 90.00°
Fractional positions:
1 Ho 0.500 0.500 0.000
2 Y 0.500 0.279 0.312
3 Y 0.000 0.779 0.188
4 Nd 0.500 0.500 0.500
5 Er 0.500 0.782 0.353
6 Er 0.000 0.718 0.853
7 Nd 0.000 0.000 0.000
8 Y 0.000 0.221 0.812
9 Y 0.500 0.721 0.688
10 Ho 0.000 0.000 0.500
11 Er 0.000 0.282 0.147
12 Er 0.500 0.218 0.647

Results
The value obtained for the density of states at the Fermi level is 1.67 states/eV per atom. The value obtained for the volume is 32.93 Å³ per atom. As for the calculated density: 6.9 g/cm3. Its size of the total moment is 0.0 μB per formula unit. The formation energy comes out at 156.7 kJ/mol of formula units.

# NdHoErZr

A geometry-optimized NdHoErZr structure (GGA-PBE, Alexandria).

a = 5.508 Å, b = 5.508 Å, c = 5.508 Å
α = 60.00°, β = 60.00°, γ = 60.00°
Fractional positions:
1 Ho 0.000 0.000 0.000
2 Nd 0.750 0.750 0.750
3 Zr 0.250 0.250 0.250
4 Er 0.500 0.500 0.500

Results
The value obtained for the density of states at the Fermi level is 1.86 states/eV per atom. The value obtained for the volume is 29.53 Å³ per atom. As for the calculated density: 8.0 g/cm3. Its size of the total moment is 1.4 μB per formula unit. The formation energy comes out at 84.9 kJ/mol of formula units.

# Nd3Ho6Er2Zr

A geometry-optimized Nd3Ho6Er2Zr structure (GGA-PBE, Alexandria).

a = 6.115 Å, b = 6.115 Å, c = 11.661 Å
α = 95.00°, β = 95.00°, γ = 119.94°
Fractional positions:
1 Ho 0.246 0.246 0.759
2 Nd 0.166 0.834 0.500
3 Nd 0.834 0.166 0.500
4 Ho 0.080 0.407 0.241
5 Er 0.667 0.333 0.000
6 Ho 0.407 0.080 0.241
7 Ho 0.920 0.593 0.759
8 Nd 0.500 0.500 0.500
9 Er 0.333 0.667 0.000
10 Zr 0.000 0.000 0.000
11 Ho 0.593 0.920 0.759
12 Ho 0.754 0.754 0.241

Results
The value obtained for the density of states at the Fermi level is 1.28 states/eV per atom. The value obtained for the volume is 31.01 Å³ per atom. As for the calculated density: 8.2 g/cm3. Its size of the total moment is 0.0 μB per formula unit. The formation energy comes out at 50.9 kJ/mol of formula units.

# HoEr2Ni2

A geometry-optimized HoEr2Ni2 structure (GGA-PBE, Alexandria).

a = 3.625 Å, b = 4.143 Å, c = 15.178 Å
α = 90.00°, β = 96.86°, γ = 90.00°
Fractional positions:
1 Er 0.286 0.750 0.573
2 Ni 0.475 0.250 0.949
3 Er 0.047 0.250 0.094
4 Er 0.953 0.750 0.906
5 Er 0.714 0.250 0.427
6 Ho 0.622 0.750 0.244
7 Ho 0.378 0.250 0.756
8 Ni 0.525 0.750 0.051
9 Ni 0.144 0.250 0.287
10 Ni 0.856 0.750 0.713

Results
The value obtained for the density of states at the Fermi level is 0.90 states/eV per atom. The value obtained for the volume is 22.63 Å³ per atom. As for the calculated density: 9.1 g/cm3. Its size of the total moment is 0.0 μB per formula unit. The formation energy comes out at -149.1 kJ/mol of formula units.